Entry 1:
CsTl2SF | PBE | optimized geometry

The calculated volume is 34.31 Å³ per atom. As for the density: 5.74 Mg/m³. As for the density of states at the Fermi level: 0.0 states/eV/f.u. The calculation puts the uncorrected formation energy at -1224 meV/atom.

The structure belongs to space group P2_1/m (No. 11); the cell edges are 8.6239, 4.2604 and 9.5626 Å and the angles 90.00°, 102.43° and 90.00°. The inequivalent atoms are Cs at (0.0371, 0.2500, 0.3092), Tl at (0.3227, 0.7500, 0.0477), Tl at (0.4301, 0.7500, 0.6549), S at (0.3313, 0.2500, 0.8394) and F at (0.1744, 0.7500, 0.4931).

=====

Entry 2:
FeTc2W | PBE | optimized geometry

The calculated volume is 14.46 Å³ per atom. As for the density: 12.51 Mg/m³. The calculation puts the formation energy at 0.6 eV per formula unit. As for the density of states at the Fermi level: 3.8 states/eV/f.u.

The structure belongs to space group Pm (No. 6); the cell edges are 2.6815, 4.2882 and 5.1418 Å and the angles 90.00°, 102.01° and 90.00°. The inequivalent atoms are Fe at (0.0000, 0.0000, 0.0000), Tc at (0.4581, 0.0000, 0.4948), Tc at (0.7712, 0.5000, 0.2525) and W at (0.2437, 0.5000, 0.7617).

=====

Repeat the second record exactly.
FeTc2W | PBE | optimized geometry

The calculated volume is 14.46 Å³ per atom. As for the density: 12.51 Mg/m³. The calculation puts the formation energy at 0.6 eV per formula unit. As for the density of states at the Fermi level: 3.8 states/eV/f.u.

The structure belongs to space group Pm (No. 6); the cell edges are 2.6815, 4.2882 and 5.1418 Å and the angles 90.00°, 102.01° and 90.00°. The inequivalent atoms are Fe at (0.0000, 0.0000, 0.0000), Tc at (0.4581, 0.0000, 0.4948), Tc at (0.7712, 0.5000, 0.2525) and W at (0.2437, 0.5000, 0.7617).